Arrangement P

PBE-GGA TaMnTl2, optimized geometry; symmetry = No. 166; M_tot = 0.925 μB/atom; D(E_F) = 1.090 states/eV/atom
1.0
1.571 0.907 9.530
-1.571 0.907 9.530
0.000 -1.813 9.530
Ta Mn Tl
1 1 2
Direct
0.000 0.000 0.000
0.500 0.500 0.500
0.247 0.247 0.247
0.753 0.753 0.753

---

Arrangement Q

PBE-GGA TaMnTl2, optimized geometry; symmetry = No. 12; M_tot = 0.924 μB/atom; D(E_F) = 0.658 states/eV/atom
1.0
3.119 -4.908 0.000
3.119 4.908 0.000
-1.382 0.000 2.734
Ta Mn Tl
1 1 2
Direct
0.000 0.000 0.000
0.500 0.500 0.000
0.000 0.500 0.500
0.500 0.000 0.500

---

Arrangement R

PBE-GGA TaMnTl2, optimized geometry; symmetry = No. 225; M_tot = 0.000 μB/atom; D(E_F) = 0.590 states/eV/atom
1.0
0.000 3.340 3.340
3.340 0.000 3.340
3.340 3.340 0.000
Ta Mn Tl
1 1 2
Direct
0.000 0.000 0.000
0.500 0.500 0.500
0.250 0.250 0.250
0.750 0.750 0.750

---

Arrangement S

PBE-GGA TaMnTl2, optimized geometry; symmetry = No. 99; M_tot = 0.000 μB/atom; D(E_F) = 0.716 states/eV/atom
1.0
3.145 0.000 0.000
0.000 3.145 0.000
0.000 0.000 8.462
Ta Mn Tl
1 1 2
Direct
0.000 0.000 0.000
0.500 0.500 0.859
0.000 0.000 0.618
0.500 0.500 0.284

---

Stability summary: most stable arrangement S, least stable arrangement R.